## Sr2Zn2CdPt5 (GGA-PBE)

Data for a relaxed structure of Sr2Zn2CdPt5.

Lattice parameters (Å, degrees): 9.9334 9.9334 3.8739 90.00 90.00 90.00
Closest atoms and distances in Å follow each position.
Element x y z (fractional)
Sr 0.1787 0.3213 0.0000  3 Zn 2.83-3.02
Sr 0.3213 0.8213 0.0000  3 Zn 2.83-3.02
Sr 0.6787 0.1787 0.0000  3 Zn 2.83-3.02
Sr 0.8213 0.6787 0.0000  3 Zn 2.83-3.02
Zn 0.1201 0.6201 0.0000  6 Pt 2.57-2.63, 1 Sr 2.83
Zn 0.3799 0.1201 0.0000  6 Pt 2.57-2.63, 1 Sr 2.83
Zn 0.6201 0.8799 0.0000  6 Pt 2.57-2.63, 1 Sr 2.83
Zn 0.8799 0.3799 0.0000  6 Pt 2.57-2.63, 1 Sr 2.83
Cd 0.0000 0.0000 0.0000  8 Pt 2.92
Cd 0.5000 0.5000 0.0000  8 Pt 2.92
Pt 0.0000 0.5000 0.5000  4 Zn 2.57
Pt 0.0626 0.7893 0.5000  2 Zn 2.63, 2 Cd 2.92, 1 Pt 2.94
Pt 0.2107 0.0626 0.5000  2 Zn 2.63, 2 Cd 2.92, 1 Pt 2.94
Pt 0.2893 0.5626 0.5000  2 Zn 2.63, 2 Cd 2.92, 1 Pt 2.94
Pt 0.4374 0.2893 0.5000  2 Zn 2.63, 2 Cd 2.92, 1 Pt 2.94
Pt 0.5000 0.0000 0.5000  4 Zn 2.57
Pt 0.5626 0.7107 0.5000  2 Zn 2.63, 2 Cd 2.92, 1 Pt 2.94
Pt 0.7107 0.4374 0.5000  2 Zn 2.63, 2 Cd 2.92, 1 Pt 2.94
Pt 0.7893 0.9374 0.5000  2 Zn 2.63, 2 Cd 2.92, 1 Pt 2.94
Pt 0.9374 0.2107 0.5000  2 Zn 2.63, 2 Cd 2.92, 1 Pt 2.94

Summary:
Its formation energy is -5.97 eV/f.u. As for the total energy: -43.0 eV/f.u. The calculation puts the density at 12110 kg/m³. The space group is P4/mbm, No. 127.